An optimized crystal structure of FeCu3Pd12. Source: Alexandria via LeMat-Bulk, functional PBE.

Cell lengths 3.8960, 3.8960, 15.5023 Å; angles 90.00, 90.00, 90.00 degrees
Fractional positions:
1 Fe 0.0000 0.0000 0.0000
2 Cu 0.0000 0.0000 0.2505
3 Cu 0.0000 0.0000 0.5000
4 Cu 0.0000 0.0000 0.7495
5 Pd 0.5000 0.5000 0.0000
6 Pd 0.5000 0.5000 0.2499
7 Pd 0.5000 0.5000 0.5000
8 Pd 0.5000 0.5000 0.7501
9 Pd 0.5000 0.0000 0.1240
10 Pd 0.5000 0.0000 0.3752
11 Pd 0.5000 0.0000 0.6248
12 Pd 0.5000 0.0000 0.8760
13 Pd 0.0000 0.5000 0.1240
14 Pd 0.0000 0.5000 0.3752
15 Pd 0.0000 0.5000 0.6248
16 Pd 0.0000 0.5000 0.8760

Summary:
- crystal system = tetragonal
- final energy (eV/cell) = -84.2
- space-group type = P4/mmm, No. 123
- DFT formation energy (kcal/mol of atoms) = -1.58

***

An optimized crystal structure of FeCu2Pd5. Source: Alexandria via LeMat-Bulk, functional PBE.

Cell lengths 5.3196, 5.3167, 5.3158 Å; angles 108.39, 108.41, 111.65 degrees
Fractional positions:
1 Fe 0.8139 0.8047 0.0000
2 Cu 0.2736 0.7808 0.4990
3 Cu 0.7746 0.2818 0.5010
4 Pd 0.2893 0.2957 0.5286
5 Pd 0.2965 0.7619 0.0000
6 Pd 0.7660 0.2885 0.0000
7 Pd 0.7607 0.7672 0.4714
8 Pd 0.2486 0.2423 0.0000

Summary:
- crystal system = monoclinic
- final energy (eV/cell) = -43.0
- space-group type = Cm, No. 8
- DFT formation energy (kcal/mol of atoms) = -1.01
- ΔE to the lowest computed polymorph (eV/atom) = 0.000

***

An optimized crystal structure of Fe4CuPd. Source: Alexandria via LeMat-Bulk, functional PBE.

Cell lengths 4.7409, 4.7409, 4.7409 Å; angles 60.00, 60.00, 60.00 degrees
Fractional positions:
1 Cu 0.0000 0.0000 0.0000
2 Pd 0.2500 0.2500 0.2500
3 Fe 0.6253 0.6253 0.1240
4 Fe 0.6253 0.1240 0.6253
5 Fe 0.6253 0.6253 0.6253
6 Fe 0.1240 0.6253 0.6253

Summary:
- crystal system = cubic
- final energy (eV/cell) = -42.2
- space-group type = F-43m, No. 216
- DFT formation energy (kcal/mol of atoms) = 3.46